(1)
DFT (PBE) results for an optimized crystal structure of Pm2Y3Sn3.

a = 6.6838 Å, b = 9.0840 Å, c = 9.0840 Å
α = 120.00°, β = 90.00°, γ = 90.00°
Last column: nearest neighbours and their distance in Å.
Positions (direct):
Y  0.7500  0.7619  0.7619  3 Sn 3.10-3.36
Sn  0.7500  0.3915  0.3915  3 Y 3.10-3.36, 4 Pm 3.26
Pm  0.0000  0.6667  0.3333  6 Sn 3.26, 2 Pm 3.34
Sn  0.7500  0.0000  0.6085  3 Y 3.10-3.36, 4 Pm 3.26
Y  0.2500  0.2381  0.2381  3 Sn 3.10-3.36
Pm  0.5000  0.3333  0.6667  6 Sn 3.26, 2 Pm 3.34
Sn  0.2500  0.6085  0.6085  3 Y 3.10-3.36, 4 Pm 3.26
Sn  0.2500  0.0000  0.3915  3 Y 3.10-3.36, 4 Pm 3.26
Y  0.7500  0.0000  0.2381  3 Sn 3.10-3.36
Y  0.2500  0.0000  0.7619  3 Sn 3.10-3.36
Y  0.2500  0.7619  0.0000  3 Sn 3.10-3.36
Sn  0.2500  0.3915  0.0000  3 Y 3.10-3.36, 4 Pm 3.26
Pm  0.5000  0.6667  0.3333  6 Sn 3.26, 2 Pm 3.34
Y  0.7500  0.2381  0.0000  3 Sn 3.10-3.36
Sn  0.7500  0.6085  0.0000  3 Y 3.10-3.36, 4 Pm 3.26
Pm  0.0000  0.3333  0.6667  6 Sn 3.26, 2 Pm 3.34

Total DFT energy (no corrections) (eV/atom): -5.843
SG: P6_3/mcm (193)

(2)
DFT (PBE) results for an optimized crystal structure of TiAlMoIr.

a = 4.3817 Å, b = 4.3817 Å, c = 4.3817 Å
α = 60.00°, β = 60.00°, γ = 60.00°
Last column: nearest neighbours and their distance in Å.
Positions (direct):
Al  0.7500  0.7500  0.7500  4 Ir 2.68, 4 Mo 2.68
Ir  0.5000  0.5000  0.5000  4 Al 2.68, 4 Ti 2.68
Mo  0.0000  0.0000  0.0000  4 Ti 2.68, 4 Al 2.68
Ti  0.2500  0.2500  0.2500  4 Mo 2.68, 4 Ir 2.68

Total DFT energy (no corrections) (eV/atom): -8.354
SG: F-43m (216)

(3)
DFT (PBE) results for an optimized crystal structure of TbPr2Nd3Tm6.

a = 6.2168 Å, b = 6.2168 Å, c = 11.7354 Å
α = 95.05°, β = 95.05°, γ = 119.99°
Last column: nearest neighbours and their distance in Å.
Positions (direct):
Nd  0.8331  0.1669  0.5000  6 Tm 3.56, 6 Nd 3.59
Tm  0.4165  0.0835  0.2496  2 Pr 3.55, 1 Tb 3.55, 3 Nd 3.56, 6 Tm 3.58-3.59
Nd  0.5000  0.5000  0.5000  6 Tm 3.56, 6 Nd 3.59
Pr  0.6664  0.3336  0.0000  6 Tm 3.55, 3 Pr 3.58-3.59, 3 Tb 3.59
Tm  0.5835  0.9165  0.7504  2 Pr 3.55, 1 Tb 3.55, 3 Nd 3.56, 6 Tm 3.58-3.59
Tm  0.9165  0.5835  0.7504  2 Pr 3.55, 1 Tb 3.55, 3 Nd 3.56, 6 Tm 3.58-3.59
Pr  0.3336  0.6664  0.0000  6 Tm 3.55, 3 Pr 3.58-3.59, 3 Tb 3.59
Nd  0.1669  0.8331  0.5000  6 Tm 3.56, 6 Nd 3.59
Tm  0.7508  0.7508  0.2499  1 Tb 3.55, 2 Pr 3.55, 3 Nd 3.56, 6 Tm 3.58-3.59
Tb  0.0000  0.0000  0.0000  6 Tm 3.55, 6 Pr 3.59
Tm  0.0835  0.4165  0.2496  2 Pr 3.55, 1 Tb 3.55, 3 Nd 3.56, 6 Tm 3.58-3.59
Tm  0.2492  0.2492  0.7501  1 Tb 3.55, 2 Pr 3.55, 3 Nd 3.56, 6 Tm 3.58-3.59

Total DFT energy (no corrections) (eV/atom): -4.593
SG: C2/m (12)

| no. | size of the total moment (μB per formula unit) |
| --- | --- |
| 1 | 0.0 |
| 2 | 0.0 |
| 3 | 0.0 |